The following is a GGA-PBE calculation of a geometry-optimized CaLa2Ag3 structure, from Alexandria.

Cell: 3.7562 3.7562 11.5795 Å, 90.00 90.00 90.00°
Last column: nearest neighbours and their distance in Å.
Fractional positions:
Ca  0.0000  0.0000  0.0000  8 Ag 3.26
La  0.0000  0.0000  0.3293  8 Ag 3.28-3.31
La  0.0000  0.0000  0.6707  8 Ag 3.28-3.31
Ag  0.5000  0.5000  0.1627  4 Ca 3.26, 4 La 3.28
Ag  0.5000  0.5000  0.5000  8 La 3.31
Ag  0.5000  0.5000  0.8373  4 Ca 3.26, 4 La 3.28

Computed properties:
* electronic total energy: -22.1 eV per formula unit
* symmetry: P4/mmm (123)
* energy of formation: -0.280 eV per atom

The following is a GGA-PBE calculation of a geometry-optimized Ca2LaAg3 structure, from Alexandria.

Cell: 3.7365 3.7365 11.3573 Å, 90.00 90.00 90.00°
Last column: nearest neighbours and their distance in Å.
Fractional positions:
Ca  0.0000  0.0000  0.1639  8 Ag 3.23
Ca  0.0000  0.0000  0.8361  8 Ag 3.23
La  0.0000  0.0000  0.5000  8 Ag 3.29
Ag  0.5000  0.5000  0.0000  8 Ca 3.23
Ag  0.5000  0.5000  0.3273  4 Ca 3.23, 4 La 3.29
Ag  0.5000  0.5000  0.6727  4 Ca 3.23, 4 La 3.29

Computed properties:
* electronic total energy: -19.3 eV per formula unit
* symmetry: P4/mmm (123)
* excess energy over the best structure of this formula in the dataset: 0 meV/atom
* energy of formation: -0.299 eV per atom

The following is a GGA-PBE calculation of a geometry-optimized Ca2LaAg structure, from Alexandria.

Cell: 6.6015 6.6015 6.6015 Å, 137.54 137.54 61.61°
Last column: nearest neighbours and their distance in Å.
Fractional positions:
Ca  0.2500  0.7500  0.5000  4 Ca 3.38, 4 La 3.71, 4 Ag 3.71
Ca  0.7500  0.2500  0.5000  4 Ca 3.38, 4 La 3.71, 4 Ag 3.71
La  0.0000  0.0000  0.0000  4 Ag 3.38, 8 Ca 3.71
Ag  0.5000  0.5000  0.0000  4 La 3.38, 8 Ca 3.71

Computed properties:
* electronic total energy: -11.5 eV per formula unit
* symmetry: I4/mmm (139)
* excess energy over the best structure of this formula in the dataset: 179 meV/atom
* energy of formation: 0.068 eV per atom

The following is a GGA-PBE calculation of a geometry-optimized Ca2LaAg structure, from Alexandria.

Cell: 5.5871 5.5871 5.5871 Å, 60.00 60.00 60.00°
Last column: nearest neighbours and their distance in Å.
Fractional positions:
Ca  0.2500  0.2500  0.2500  4 Ag 3.42, 4 La 3.42
Ca  0.7500  0.7500  0.7500  4 Ag 3.42, 4 La 3.42
La  0.0000  0.0000  0.0000  8 Ca 3.42
Ag  0.5000  0.5000  0.5000  8 Ca 3.42

Computed properties:
* electronic total energy: -11.3 eV per formula unit
* symmetry: Fm-3m (225)
* excess energy over the best structure of this formula in the dataset: 232 meV/atom
* energy of formation: 0.121 eV per atom

The following is a GGA-PBE calculation of a geometry-optimized Ca2LaAg6 structure, from Alexandria.

Cell: 8.3084 8.3084 3.6784 Å, 90.00 90.00 120.00°
Last column: nearest neighbours and their distance in Å.
Fractional positions:
Ca  0.3333  0.6667  0.0000  12 Ag 3.32, 2 Ca 3.68
Ca  0.6667  0.3333  0.0000  12 Ag 3.32, 2 Ca 3.68
La  0.0000  0.0000  0.0000  12 Ag 3.34, 2 La 3.68
Ag  0.0000  0.3349  0.5000  3 Ag 2.74-2.78
Ag  0.0000  0.6651  0.5000  3 Ag 2.74-2.78
Ag  0.3349  0.0000  0.5000  3 Ag 2.74-2.78
Ag  0.3349  0.3349  0.5000  3 Ag 2.74-2.78
Ag  0.6651  0.0000  0.5000  3 Ag 2.74-2.78
Ag  0.6651  0.6651  0.5000  3 Ag 2.74-2.78

Computed properties:
* electronic total energy: -28.5 eV per formula unit
* symmetry: P6/mmm (191)
* energy of formation: -0.270 eV per atom

The following is a GGA-PBE calculation of a geometry-optimized Ca2LaAg structure, from Alexandria.

Cell: 5.6352 5.6352 5.6352 Å, 60.00 60.00 60.00°
Last column: nearest neighbours and their distance in Å.
Fractional positions:
Ca  0.0000  0.0000  0.0000  4 La 3.45, 4 Ca 3.45
Ca  0.2500  0.2500  0.2500  4 Ag 3.45, 4 Ca 3.45
La  0.7500  0.7500  0.7500  4 Ag 3.45, 4 Ca 3.45
Ag  0.5000  0.5000  0.5000  4 La 3.45, 4 Ca 3.45

Computed properties:
* electronic total energy: -11.7 eV per formula unit
* symmetry: F-43m (216)
* excess energy over the best structure of this formula in the dataset: 143 meV/atom
* energy of formation: 0.032 eV per atom

The following is a GGA-PBE calculation of a geometry-optimized Ca2LaAg2 structure, from Alexandria.

Cell: 3.7196 5.4510 14.5494 Å, 90.00 97.33 90.00°
Last column: nearest neighbours and their distance in Å.
Fractional positions:
Ca  0.0438  0.2500  0.0885  8 Ag 3.20-3.30
Ca  0.2244  0.2500  0.4487  2 Ag 3.19-3.20
Ca  0.7756  0.7500  0.5513  2 Ag 3.19-3.20
Ca  0.9562  0.7500  0.9115  8 Ag 3.20-3.30
La  0.1378  0.7500  0.2782  6 Ag 3.22-3.30
La  0.8622  0.2500  0.7218  6 Ag 3.22-3.30
Ag  0.3665  0.7500  0.7313  4 Ca 3.19-3.20, 4 La 3.30
Ag  0.4527  0.2500  0.9044  2 La 3.22-3.23, 6 Ca 3.24-3.30
Ag  0.5473  0.7500  0.0956  2 La 3.22-3.23, 6 Ca 3.24-3.30
Ag  0.6335  0.2500  0.2687  4 Ca 3.19-3.20, 4 La 3.30

Computed properties:
* electronic total energy: -15.6 eV per formula unit
* symmetry: P2_1/m (11)
* excess energy over the best structure of this formula in the dataset: 25 meV/atom
* energy of formation: -0.201 eV per atom

The following is a GGA-PBE calculation of a geometry-optimized CaLa2Ag9 structure, from Alexandria.

Cell: 10.0003 10.0003 10.0003 Å, 33.35 33.35 33.35°
Last column: nearest neighbours and their distance in Å.
Fractional positions:
Ca  0.0000  0.0000  0.0000  18 Ag 3.31-3.71
La  0.1426  0.1426  0.1426  12 Ag 3.33-3.47, 3 La 3.58
La  0.8574  0.8574  0.8574  12 Ag 3.33-3.47, 3 La 3.58
Ag  0.0814  0.5836  0.5836  7 Ag 2.86-2.90
Ag  0.3330  0.3330  0.3330  6 Ag 2.86-2.88
Ag  0.4164  0.4164  0.9186  7 Ag 2.86-2.90
Ag  0.4164  0.9186  0.4164  7 Ag 2.86-2.90
Ag  0.5000  0.5000  0.5000  6 Ag 2.90
Ag  0.5836  0.0814  0.5836  7 Ag 2.86-2.90
Ag  0.5836  0.5836  0.0814  7 Ag 2.86-2.90
Ag  0.6670  0.6670  0.6670  6 Ag 2.86-2.88
Ag  0.9186  0.4164  0.4164  7 Ag 2.86-2.90

Computed properties:
* electronic total energy: -39.7 eV per formula unit
* symmetry: R-3m (166)
* energy of formation: -0.180 eV per atom

The following is a GGA-PBE calculation of a geometry-optimized Ca2LaAg9 structure, from Alexandria.

Cell: 9.9047 9.9047 9.9047 Å, 33.64 33.64 33.64°
Last column: nearest neighbours and their distance in Å.
Fractional positions:
Ca  0.1428  0.1428  0.1428  12 Ag 3.30-3.40, 3 Ca 3.57
Ca  0.8572  0.8572  0.8572  12 Ag 3.30-3.40, 3 Ca 3.57
La  0.0000  0.0000  0.0000  6 Ag 3.31
Ag  0.0823  0.5850  0.5850  7 Ag 2.85-2.89
Ag  0.3329  0.3329  0.3329  6 Ag 2.86-2.89
Ag  0.4150  0.4150  0.9177  7 Ag 2.85-2.89
Ag  0.4150  0.9177  0.4150  7 Ag 2.85-2.89
Ag  0.5000  0.5000  0.5000  6 Ag 2.85
Ag  0.5850  0.0823  0.5850  7 Ag 2.85-2.89
Ag  0.5850  0.5850  0.0823  7 Ag 2.85-2.89
Ag  0.6671  0.6671  0.6671  6 Ag 2.86-2.89
Ag  0.9177  0.4150  0.4150  7 Ag 2.85-2.89

Computed properties:
* electronic total energy: -37.1 eV per formula unit
* symmetry: R-3m (166)
* energy of formation: -0.211 eV per atom

The following is a GGA-PBE calculation of a geometry-optimized Ca2LaAg3 structure, from Alexandria.

Cell: 8.4174 8.4174 3.7218 Å, 90.00 90.00 143.10°
Last column: nearest neighbours and their distance in Å.
Fractional positions:
Ca  0.1681  0.8319  0.0000  8 Ag 3.22-3.27
Ca  0.8319  0.1681  0.0000  8 Ag 3.22-3.27
La  0.5000  0.5000  0.0000  8 Ag 3.25-3.26
Ag  0.0000  0.0000  0.5000  4 La 3.25, 4 Ca 3.27
Ag  0.3327  0.6673  0.5000  6 Ca 3.22-3.25, 2 La 3.26
Ag  0.6673  0.3327  0.5000  6 Ca 3.22-3.25, 2 La 3.26

Computed properties:
* electronic total energy: -19.3 eV per formula unit
* symmetry: Cmmm (65)
* excess energy over the best structure of this formula in the dataset: 3 meV/atom
* energy of formation: -0.296 eV per atom

The following is a GGA-PBE calculation of a geometry-optimized Ca2LaAg structure, from Alexandria.

Cell: 11.1404 11.1404 11.1404 Å, 19.95 19.95 19.95°
Last column: nearest neighbours and their distance in Å.
Fractional positions:
Ca  0.0000  0.0000  0.0000  9 Ca 3.86-3.96, 3 La 3.89
Ca  0.2332  0.2332  0.2332  3 Ag 3.11
La  0.7640  0.7640  0.7640  3 Ag 3.19
Ag  0.5004  0.5004  0.5004  3 Ca 3.11, 3 La 3.19

Computed properties:
* electronic total energy: -11.9 eV per formula unit
* symmetry: R3m (160)
* excess energy over the best structure of this formula in the dataset: 93 meV/atom
* energy of formation: -0.018 eV per atom

The following is a GGA-PBE calculation of a geometry-optimized Ca2LaAg structure, from Alexandria.

Cell: 7.0109 7.0109 7.0109 Å, 148.83 131.36 58.91°
Last column: nearest neighbours and their distance in Å.
Fractional positions:
Ca  0.2021  0.2021  0.0000  2 Ag 3.10
Ca  0.7979  0.7979  0.0000  2 Ag 3.10
La  0.5000  0.0000  0.5000  4 Ag 3.45, 2 La 3.77, 4 Ca 3.80
Ag  0.0000  0.5000  0.5000  4 Ca 3.10, 4 La 3.45

Computed properties:
* electronic total energy: -12.1 eV per formula unit
* symmetry: Immm (71)
* excess energy over the best structure of this formula in the dataset: 33 meV/atom
* energy of formation: -0.078 eV per atom

The following is a GGA-PBE calculation of a geometry-optimized Ca2LaAg structure, from Alexandria.

Cell: 10.9920 10.9920 10.9920 Å, 20.09 20.09 20.09°
Last column: nearest neighbours and their distance in Å.
Fractional positions:
Ca  0.2339  0.2339  0.2339  3 Ag 3.10
Ca  0.7661  0.7661  0.7661  3 Ag 3.10
La  0.0000  0.0000  0.0000  6 La 3.83, 6 Ca 3.90
Ag  0.5000  0.5000  0.5000  6 Ca 3.10

Computed properties:
* electronic total energy: -11.9 eV per formula unit
* symmetry: R-3m (166)
* excess energy over the best structure of this formula in the dataset: 92 meV/atom
* energy of formation: -0.019 eV per atom

The following is a GGA-PBE calculation of a geometry-optimized Ca2LaAg structure, from Alexandria.

Cell: 7.3278 7.3278 7.3278 Å, 101.68 101.68 126.52°
Last column: nearest neighbours and their distance in Å.
Fractional positions:
Ca  0.0542  0.6250  0.9292  2 Ag 2.96
Ca  0.3750  0.3042  0.4292  2 Ag 2.96
Ca  0.6958  0.1250  0.0708  2 Ag 2.96
Ca  0.8750  0.9458  0.5708  2 Ag 2.96
La  0.2500  0.7500  0.5000  2 Ag 3.30
La  0.5000  0.5000  0.0000  2 Ag 3.30
Ag  0.0000  0.0000  0.0000  4 Ca 2.96, 2 La 3.30
Ag  0.7500  0.2500  0.5000  4 Ca 2.96, 2 La 3.30

Computed properties:
* electronic total energy: -11.4 eV per formula unit
* symmetry: I-42d (122)
* excess energy over the best structure of this formula in the dataset: 196 meV/atom
* energy of formation: 0.085 eV per atom

The following is a GGA-PBE calculation of a geometry-optimized Ca2LaAg structure, from Alexandria.

Cell: 6.8590 6.8590 6.8590 Å, 147.22 129.90 61.17°
Last column: nearest neighbours and their distance in Å.
Fractional positions:
Ca  0.0000  0.0000  0.0000  4 Ag 3.49, 2 La 3.78, 4 Ca 3.80-3.87
Ca  0.7075  0.2075  0.5000  2 Ag 3.08
La  0.2956  0.7956  0.5000  2 Ag 3.13
Ag  0.5044  0.5044  0.0000  2 Ca 3.08, 2 La 3.13

Computed properties:
* electronic total energy: -12.0 eV per formula unit
* symmetry: Imm2 (44)
* excess energy over the best structure of this formula in the dataset: 48 meV/atom
* energy of formation: -0.063 eV per atom

The following is a GGA-PBE calculation of a geometry-optimized CaLa4Ag structure, from Alexandria.

Cell: 6.6994 6.6994 6.6994 Å, 60.00 60.00 60.00°
Last column: nearest neighbours and their distance in Å.
Fractional positions:
Ca  0.0000  0.0000  0.0000  12 La 3.93, 4 Ag 4.10
La  0.1301  0.6233  0.6233  6 La 3.30-3.40
La  0.6233  0.1301  0.6233  6 La 3.30-3.40
La  0.6233  0.6233  0.1301  6 La 3.30-3.40
La  0.6233  0.6233  0.6233  6 La 3.30-3.40
Ag  0.2500  0.2500  0.2500  12 La 3.92, 4 Ca 4.10

Computed properties:
* electronic total energy: -22.6 eV per formula unit
* symmetry: F-43m (216)
* energy of formation: 0.320 eV per atom

The following is a GGA-PBE calculation of a geometry-optimized Ca2LaAg4 structure, from Alexandria.

Cell: 10.4256 10.4256 10.4256 Å, 158.64 153.43 34.34°
Last column: nearest neighbours and their distance in Å.
Fractional positions:
Ca  0.1898  0.1898  0.0000  7 Ag 3.09-3.28
Ca  0.8102  0.8102  0.0000  7 Ag 3.09-3.28
La  0.5000  0.0000  0.5000  12 Ag 3.37-3.48
Ag  0.0688  0.5688  0.5000  3 Ag 2.74-2.84
Ag  0.3544  0.3544  0.0000  2 Ag 2.84
Ag  0.6456  0.6456  0.0000  2 Ag 2.84
Ag  0.9312  0.4312  0.5000  3 Ag 2.74-2.84

Computed properties:
* electronic total energy: -22.4 eV per formula unit
* symmetry: Immm (71)
* energy of formation: -0.289 eV per atom

The following is a GGA-PBE calculation of a geometry-optimized Ca6LaAg4 structure, from Alexandria.

Cell: 6.4701 6.4701 9.6387 Å, 109.31 109.31 90.80°
Last column: nearest neighbours and their distance in Å.
Fractional positions:
Ca  0.0000  0.0000  0.0000  5 Ag 3.16-3.35
Ca  0.3617  0.8850  0.7211  5 Ag 3.15-3.36
Ca  0.4438  0.9427  0.3599  4 Ag 3.22-3.24, 2 La 3.23-3.24
Ca  0.5257  0.5257  0.9996  5 Ag 3.16-3.34
Ca  0.8850  0.3617  0.7211  5 Ag 3.15-3.36
Ca  0.9427  0.4438  0.3599  4 Ag 3.22-3.24, 2 La 3.23-3.24
La  0.4436  0.4436  0.3617  4 Ag 3.16-3.18, 4 Ca 3.23-3.24
Ag  0.0696  0.5485  0.0920  7 Ca 3.15-3.35, 1 La 3.18
Ag  0.3335  0.3335  0.6275  1 La 3.16, 7 Ca 3.16-3.36
Ag  0.5485  0.0696  0.0920  7 Ca 3.15-3.35, 1 La 3.18
Ag  0.8194  0.8194  0.6279  1 La 3.16, 7 Ca 3.16-3.36

Computed properties:
* electronic total energy: -29.4 eV per formula unit
* symmetry: Cm (8)
* energy of formation: -0.097 eV per atom

The following is a GGA-PBE calculation of a geometry-optimized Ca2LaAg structure, from Alexandria.

Cell: 3.6864 3.7059 9.4936 Å, 90.00 90.00 90.00°
Last column: nearest neighbours and their distance in Å.
Fractional positions:
Ca  0.0000  0.0000  0.1946  4 Ag 3.20
Ca  0.0000  0.0000  0.8054  4 Ag 3.20
La  0.5000  0.5000  0.5000  4 La 3.69-3.71, 8 Ca 3.90
Ag  0.5000  0.5000  0.0000  8 Ca 3.20

Computed properties:
* electronic total energy: -12.2 eV per formula unit
* symmetry: Pmmm (47)
* excess energy over the best structure of this formula in the dataset: 14 meV/atom
* energy of formation: -0.097 eV per atom

The following is a GGA-PBE calculation of a geometry-optimized Ca2LaAg structure, from Alexandria.

Cell: 3.5930 6.2554 6.8055 Å, 115.73 102.59 95.59°
Last column: nearest neighbours and their distance in Å.
Fractional positions:
Ca  0.0000  0.0000  0.0000  6 Ca 3.45-3.76, 2 La 3.48, 2 Ag 3.48
Ca  0.5000  0.5000  0.0000  6 Ca 3.45-3.76, 2 Ag 3.48, 2 La 3.48
La  0.0000  0.5000  0.5000  4 Ag 3.45-3.76, 4 Ca 3.48, 2 La 3.59
Ag  0.5000  0.0000  0.5000  4 La 3.45-3.76, 4 Ca 3.48, 2 Ag 3.59

Computed properties:
* electronic total energy: -11.4 eV per formula unit
* symmetry: P-1 (2)
* excess energy over the best structure of this formula in the dataset: 204 meV/atom
* energy of formation: 0.093 eV per atom